# CrReMoOs, optimized geometry, DFT PBE
data_CrReMoOs
_chemical_formula_sum 'Cr1 Re1 Mo1 Os1'
_symmetry_space_group_name_H-M 'P 1'
_symmetry_Int_Tables_number 1
_cell_length_a 4.355
_cell_length_b 4.355
_cell_length_c 4.355
_cell_angle_alpha 60.00
_cell_angle_beta 60.00
_cell_angle_gamma 60.00
loop_
_symmetry_equiv_pos_as_xyz
'x,y,z'
loop_
_atom_site_label
_atom_site_type_symbol
_atom_site_fract_x
_atom_site_fract_y
_atom_site_fract_z
Mo1 Mo 0.000 0.000 0.000
Os1 Os 0.500 0.500 0.500
Cr1 Cr 0.750 0.750 0.750
Re1 Re 0.250 0.250 0.250
# Size of the total moment: 2.222 μB per formula unit
# Raw total energy: -43.3 eV for the cell shown
# Space group: F-43m
# Calculated formation energy: 0.2136 eV per atom


# ErTlHg4, optimized geometry, DFT PBE
data_ErTlHg4
_chemical_formula_sum 'Er1 Tl1 Hg4'
_symmetry_space_group_name_H-M 'P 1'
_symmetry_Int_Tables_number 1
_cell_length_a 6.042
_cell_length_b 6.042
_cell_length_c 6.042
_cell_angle_alpha 60.00
_cell_angle_beta 60.00
_cell_angle_gamma 60.00
loop_
_symmetry_equiv_pos_as_xyz
'x,y,z'
loop_
_atom_site_label
_atom_site_type_symbol
_atom_site_fract_x
_atom_site_fract_y
_atom_site_fract_z
Er1 Er 0.250 0.250 0.250
Tl1 Tl 0.000 0.000 0.000
Hg1 Hg 0.126 0.625 0.625
Hg2 Hg 0.625 0.625 0.126
Hg3 Hg 0.625 0.126 0.625
Hg4 Hg 0.625 0.625 0.625
# Size of the total moment: 0.000 μB per formula unit
# Raw total energy: -8.3 eV for the cell shown
# Space group: F-43m
# Calculated formation energy: -0.0331 eV per atom